Entry 1:
This record from Alexandria describes CaMoPd after structural relaxation. The functional is PBE.

abc: 11.0185 3.5015 6.6915
angles: 90.00 107.06 90.00
With the nearest neighbours (Å) after each atom.
Space group C2/m (No. 12)
Symmetry-distinct sites (fractional):
Ca: 0.0167 0.0000 0.2664 [4 per cell]  5 Pd 3.07-3.16, 5 Mo 3.23-3.33, 1 Ca 3.25
Mo: 0.2019 0.5000 0.0746 [4 per cell]  2 Mo 2.41
Pd: 0.1889 0.5000 0.6114 [4 per cell]  2 Mo 2.73, 2 Pd 2.88

Its energy relative to the lowest polymorph listed for this composition is 10.8 kJ per mole of atoms. For the total energy, the calculation gives -71.95 eV for the cell shown. The value obtained for the density of states at the Fermi level is 1.78 states/eV/f.u.

---

Entry 2:
This record from Alexandria describes ZrBeOs2 after structural relaxation. The functional is PBE.

abc: 2.9984 3.6581 5.6133
angles: 90.00 103.45 90.00
With the nearest neighbours (Å) after each atom.
Space group P2/m (No. 10)
Symmetry-distinct sites (fractional):
Zr: 0.0000 0.0000 0.0000 [1 per cell]  2 Be 2.81, 8 Os 2.85, 2 Zr 3.00
Be: 0.0000 0.0000 0.5000 [1 per cell]  4 Os 2.32
Os: 0.3731 0.5000 0.7098 [2 per cell]  2 Be 2.32

For the total energy, the calculation gives -35.05 eV for the cell shown. The value obtained for the density of states at the Fermi level is 2.20 states/eV/f.u.

---

Entry 3:
This record from Alexandria describes Ba2Li9In6 after structural relaxation. The functional is PBE.

abc: 6.0335 6.0335 14.5992
angles: 90.00 90.00 120.00
With the nearest neighbours (Å) after each atom.
Space group P6/mmm (No. 191)
Symmetry-distinct sites (fractional):
Ba: 0.0000 0.0000 0.1715 [2 per cell]  6 In 3.48, 6 Li 3.88
Li: 0.0000 0.5000 0.0000 [3 per cell]  4 In 3.01, 4 Li 3.02
Li: 0.0000 0.5000 0.3385 [6 per cell]  4 In 2.93-3.03, 4 Li 3.02
In: 0.3333 0.6667 0.1685 [4 per cell]  6 Li 3.01-3.03
In: 0.3333 0.6667 0.5000 [2 per cell]  6 Li 2.93

For the total energy, the calculation gives -40.38 eV for the cell shown. The value obtained for the density of states at the Fermi level is 10.75 states/eV/f.u.

---

Entry 4:
This record from Alexandria describes La2PmMgTe5 after structural relaxation. The functional is PBE.

abc: 4.4592 19.2008 13.6223
angles: 90.00 90.00 90.00
With the nearest neighbours (Å) after each atom.
Space group Cmc2_1 (No. 36)
Symmetry-distinct sites (fractional):
La: 0.0000 0.1132 0.0000 [4 per cell]  8 Te 3.33-3.44
La: 0.0000 0.1318 0.6224 [4 per cell]  8 Te 3.28-3.61
Pm: 0.0000 0.2034 0.3269 [4 per cell]  6 Te 3.12-3.18
Mg: 0.0000 0.4484 0.7699 [4 per cell]  4 Te 2.71-2.97
Te: 0.0000 0.0463 0.3863 [4 per cell]  2 Mg 2.74
Te: 0.0000 0.2863 0.9891 [4 per cell]  2 Pm 3.15, 3 La 3.28-3.33
Te: 0.0000 0.3139 0.6624 [4 per cell]  1 Mg 2.97, 2 Pm 3.18
Te: 0.0000 0.3658 0.3156 [4 per cell]  1 Pm 3.12, 4 La 3.38-3.45
Te: 0.0000 0.4952 0.0879 [4 per cell]  1 Mg 2.71

The calculation puts the formation energy from raw total energies at -1362 meV/atom. For the total energy, the calculation gives -176.66 eV for the cell shown. The value obtained for the density of states at the Fermi level is 2.98 states/eV/f.u.

---

Entry 5:
This record from Alexandria describes KSnPb after structural relaxation. The functional is PBE.

abc: 7.6811 7.6811 7.6811
angles: 90.00 90.00 90.00
With the nearest neighbours (Å) after each atom.
Space group F-43m (No. 216)
Symmetry-distinct sites (fractional):
K: 0.0000 0.0000 0.0000 [4 per cell]  4 Sn 3.33
Sn: 0.2500 0.2500 0.2500 [4 per cell]  4 Pb 3.33, 4 K 3.33
Pb: 0.0000 0.0000 0.5000 [4 per cell]  4 Sn 3.33

Its energy relative to the lowest polymorph listed for this composition is 16.1 kJ per mole of atoms. For the total energy, the calculation gives -35.46 eV for the cell shown. The value obtained for the density of states at the Fermi level is 1.58 states/eV/f.u.

---

Entry 6:
This record from Alexandria describes Rb2AsBrCl5 after structural relaxation. The functional is PBE.

abc: 7.3657 7.3657 10.2111
angles: 90.00 90.00 90.00
With the nearest neighbours (Å) after each atom.
Space group I4mm (No. 107)
Symmetry-distinct sites (fractional):
Rb: 0.0000 0.5000 0.0000 [4 per cell]  10 Cl 3.65-3.69, 2 Br 3.68
As: 0.0000 0.0000 0.2502 [2 per cell]  5 Cl 2.38-2.41, 1 Br 2.59
Br: 0.0000 0.0000 0.5034 [2 per cell]  1 As 2.59
Cl: 0.0000 0.0000 0.0167 [2 per cell]  1 As 2.38
Cl: 0.2316 0.2316 0.2496 [8 per cell]  1 As 2.41

The calculation puts the formation energy from raw total energies at -1178 meV/atom. For the total energy, the calculation gives -56.18 eV for the cell shown. The value obtained for the density of states at the Fermi level is 4.24 states/eV/f.u.

---

Entry 7:
This record from Alexandria describes CaPdSe after structural relaxation. The functional is PBE.

abc: 7.8646 4.4727 8.6219
angles: 90.00 116.22 90.00
With the nearest neighbours (Å) after each atom.
Space group Cm (No. 8)
Symmetry-distinct sites (fractional):
Ca: 0.0000 0.0000 0.0000 [2 per cell]  6 Se 2.91-3.22, 1 Pd 2.95
Ca: 0.2318 0.0000 0.4796 [2 per cell]  5 Pd 2.80-3.09, 1 Se 2.93
Pd: 0.0163 0.0000 0.6651 [2 per cell]  2 Se 2.45
Pd: 0.2898 0.5000 0.2604 [2 per cell]  3 Se 2.58-2.62
Se: 0.0905 0.5000 0.7947 [2 per cell]  2 Pd 2.45
Se: 0.4510 0.0000 0.2378 [2 per cell]  3 Pd 2.58-2.62

Its energy relative to the lowest polymorph listed for this composition is 6.3 kJ per mole of atoms. The calculation puts the formation energy from raw total energies at -1097 meV/atom. For the total energy, the calculation gives -55.88 eV for the cell shown. The value obtained for the density of states at the Fermi level is 0.03 states/eV/f.u.

---

Entry 8:
This record from Alexandria describes Ac3Pr5Er2 after structural relaxation. The functional is PBE.

abc: 11.5972 16.3856 9.9476
angles: 90.00 125.50 90.00
With the nearest neighbours (Å) after each atom.
Space group C2/c (No. 15)
Symmetry-distinct sites (fractional):
Ac: 0.0000 0.2269 0.2500 [4 per cell]  1 Pr 3.30, 2 Er 3.56
Ac: 0.2462 0.3849 0.2449 [8 per cell]  5 Pr 3.72-3.91, 3 Er 3.73-4.08, 1 Ac 3.88
Pr: 0.0000 0.0256 0.2500 [4 per cell]  1 Ac 3.30, 4 Pr 3.49-3.69, 2 Er 3.64
Pr: 0.0000 0.2744 0.7500 [4 per cell]  3 Pr 3.16-3.47
Pr: 0.0000 0.4670 0.7500 [4 per cell]  1 Pr 3.16, 2 Er 3.41
Pr: 0.1532 0.1254 0.0541 [8 per cell]  1 Er 3.22, 2 Pr 3.47-3.49
Er: 0.1481 0.3861 0.5488 [8 per cell]  3 Pr 3.22-3.56, 1 Ac 3.56

For the total energy, the calculation gives -174.93 eV for the cell shown. The value obtained for the density of states at the Fermi level is 17.86 states/eV/f.u.

---

Entry 9:
This record from Alexandria describes NpPaAl4 after structural relaxation. The functional is PBE.

abc: 7.7624 7.7624 7.7624
angles: 90.00 90.00 90.00
With the nearest neighbours (Å) after each atom.
Space group F-43m (No. 216)
Symmetry-distinct sites (fractional):
Np: 0.0000 0.0000 0.0000 [4 per cell]  12 Al 3.22, 4 Pa 3.36
Pa: 0.2500 0.2500 0.7500 [4 per cell]  12 Al 3.22, 4 Np 3.36
Al: 0.1252 0.1252 0.3748 [16 per cell]  6 Al 2.74-2.75

For the total energy, the calculation gives -155.37 eV for the cell shown. The value obtained for the density of states at the Fermi level is 10.39 states/eV/f.u.

---

Entry 10:
This record from Alexandria describes NbNi2AsOs after structural relaxation. The functional is PBE.

abc: 4.5284 4.5284 4.7752
angles: 90.00 90.00 90.00
With the nearest neighbours (Å) after each atom.
Space group P4/mmm (No. 123)
Symmetry-distinct sites (fractional):
Nb: 0.0000 0.0000 0.0000 [1 per cell]  2 Os 2.39
Ni: 0.0000 0.5000 0.5000 [2 per cell]  2 Os 2.26
As: 0.5000 0.5000 0.0000 [1 per cell]  4 Nb 3.20, 8 Ni 3.29
Os: 0.0000 0.0000 0.5000 [1 per cell]  4 Ni 2.26, 2 Nb 2.39

For the total energy, the calculation gives -31.79 eV for the cell shown. The value obtained for the density of states at the Fermi level is 4.83 states/eV/f.u.

---

Entry 11:
This record from Alexandria describes CeEr4Se6 after structural relaxation. The functional is PBE.

abc: 4.0252 13.3105 20.5824
angles: 90.00 90.00 90.00
With the nearest neighbours (Å) after each atom.
Space group Cmcm (No. 63)
Symmetry-distinct sites (fractional):
Ce: 0.0000 0.1559 0.2500 [4 per cell]  6 Se 2.97-3.05
Er: 0.0000 0.0912 0.6255 [8 per cell]  6 Se 2.82-2.85
Er: 0.0000 0.3593 0.5384 [8 per cell]  6 Se 2.84-2.92
Se: 0.0000 0.0000 0.0000 [4 per cell]  6 Er 2.85-2.86
Se: 0.0000 0.1805 0.7500 [4 per cell]  2 Er 2.82, 2 Ce 2.97
Se: 0.0000 0.2674 0.0904 [8 per cell]  5 Er 2.84-2.92
Se: 0.0000 0.4530 0.6639 [8 per cell]  3 Er 2.84-2.87, 2 Ce 3.05

The calculation puts the formation energy from raw total energies at -1798 meV/atom. For the total energy, the calculation gives -259.46 eV for the cell shown. The value obtained for the density of states at the Fermi level is 9.66 states/eV/f.u.

---

Entry 12:
This record from Alexandria describes SiRu2Cl after structural relaxation. The functional is PBE.

abc: 2.8162 2.8162 8.6970
angles: 90.00 90.00 90.00
With the nearest neighbours (Å) after each atom.
Space group P4mm (No. 99)
Symmetry-distinct sites (fractional):
Si: 0.0000 0.0000 0.0000 [1 per cell]  4 Ru 2.69, 4 Si 2.82
Ru: 0.0000 0.0000 0.5967 [1 per cell]  8 Ru 2.62-2.82, 4 Cl 2.63
Ru: 0.5000 0.5000 0.7926 [1 per cell]  8 Ru 2.62-2.82, 4 Si 2.69
Cl: 0.5000 0.5000 0.3997 [1 per cell]  4 Ru 2.63, 4 Cl 2.82

Its energy relative to the lowest polymorph listed for this composition is 28.7 kJ per mole of atoms. The calculation puts the formation energy from raw total energies at 236 meV/atom. For the total energy, the calculation gives -24.88 eV for the cell shown. The value obtained for the density of states at the Fermi level is 2.37 states/eV/f.u.